# BaSrAg2Sb2 | Alexandria | GGA-PBE | optimized geometry
# DOS at the Fermi energy = 0.437 states/eV/f.u.
# formation energy from raw total energies = -4.61 eV per formula unit
# energy = -3.69 eV per atom
data_BaSrAg2Sb2
_chemical_formula_sum 'Ba1 Sr1 Ag2 Sb2'
_symmetry_space_group_name_H-M 'P -3 m 1'
_symmetry_Int_Tables_number 164
_symmetry_space_group_name_Hall '-P 3 2"'
_cell_length_a 4.8565
_cell_length_b 4.8565
_cell_length_c 9.0118
_cell_angle_alpha 90.00
_cell_angle_beta 90.00
_cell_angle_gamma 120.00
loop_
_atom_site_label
_atom_site_type_symbol
_atom_site_fract_x
_atom_site_fract_y
_atom_site_fract_z
Ba1 Ba 0.0000 0.0000 0.0000
Sr1 Sr 0.0000 0.0000 0.5000
Ag1 Ag 0.3333 0.6667 0.7292
Sb1 Sb 0.3333 0.6667 0.2595



# BaAgSb2Te4 | Alexandria | GGA-PBE | optimized geometry
# DOS at the Fermi energy = 1.108 states/eV/f.u.
# formation energy from raw total energies = -3.50 eV per formula unit
# energy = -3.64 eV per atom
data_BaAgSb2Te4
_chemical_formula_sum 'Ba4 Ag4 Sb8 Te16'
_symmetry_space_group_name_H-M 'C m c m'
_symmetry_Int_Tables_number 63
_symmetry_space_group_name_Hall '-C 2c 2'
_cell_length_a 4.838
_cell_length_b 14.309
_cell_length_c 15.602
_cell_angle_alpha 90.00
_cell_angle_beta 90.00
_cell_angle_gamma 90.00
loop_
_atom_site_label
_atom_site_type_symbol
_atom_site_fract_x
_atom_site_fract_y
_atom_site_fract_z
Ba1 Ba 0.000 0.131 0.250
Ag1 Ag 0.000 0.138 0.750
Sb1 Sb 0.000 0.374 0.054
Te1 Te 0.000 0.000 0.000
Te2 Te 0.000 0.266 0.608
Te3 Te 0.000 0.453 0.250



# Ba2TlAg4Sb3 | Alexandria | GGA-PBE | optimized geometry
# DOS at the Fermi energy = 4.053 states/eV/f.u.
# formation energy from raw total energies = -4.57 eV per formula unit
# energy = -3.46 eV per atom
data_Ba2TlAg4Sb3
_chemical_formula_sum 'Ba2 Tl1 Ag4 Sb3'
_symmetry_space_group_name_H-M 'P -4 m 2'
_symmetry_Int_Tables_number 115
_cell_length_a 4.894
_cell_length_b 4.894
_cell_length_c 11.756
_cell_angle_alpha 90.00
_cell_angle_beta 90.00
_cell_angle_gamma 90.00
loop_
_symmetry_equiv_pos_as_xyz
'x,y,z'
'y,-x,-z'
'-x,-y,z'
'-y,x,-z'
'-x,y,z'
'-y,-x,-z'
'x,-y,z'
'y,x,-z'
loop_
_atom_site_label
_atom_site_type_symbol
_atom_site_fract_x
_atom_site_fract_y
_atom_site_fract_z
Ba1 Ba 0.000 0.500 0.240
Tl1 Tl 0.000 0.000 0.500
Ag1 Ag 0.000 0.000 0.000
Ag2 Ag 0.000 0.500 0.636
Ag3 Ag 0.500 0.500 0.000
Sb1 Sb 0.000 0.500 0.869
Sb2 Sb 0.500 0.500 0.500



# Ba2TlAg3Sb4 | Alexandria | GGA-PBE | optimized geometry
# DOS at the Fermi energy = 3.077 states/eV/f.u.
# formation energy from raw total energies = -4.41 eV per formula unit
# energy = -3.57 eV per atom
data_Ba2TlAg3Sb4
_chemical_formula_sum 'Ba2 Tl1 Ag3 Sb4'
_symmetry_space_group_name_H-M 'P -4 m 2'
_symmetry_Int_Tables_number 115
_cell_length_a 5.049
_cell_length_b 5.049
_cell_length_c 11.635
_cell_angle_alpha 90.00
_cell_angle_beta 90.00
_cell_angle_gamma 90.00
loop_
_symmetry_equiv_pos_as_xyz
'x,y,z'
'y,-x,-z'
'-x,-y,z'
'-y,x,-z'
'-x,y,z'
'-y,-x,-z'
'x,-y,z'
'y,x,-z'
loop_
_atom_site_label
_atom_site_type_symbol
_atom_site_fract_x
_atom_site_fract_y
_atom_site_fract_z
Ba1 Ba 0.000 0.500 0.241
Tl1 Tl 0.000 0.000 0.500
Ag1 Ag 0.000 0.500 0.878
Ag2 Ag 0.500 0.500 0.500
Sb1 Sb 0.000 0.000 0.000
Sb2 Sb 0.000 0.500 0.640
Sb3 Sb 0.500 0.500 0.000



# Ba2Zn3AgSb4 | Alexandria | GGA-PBE | optimized geometry
# DOS at the Fermi energy = 3.576 states/eV/f.u.
# formation energy from raw total energies = -4.77 eV per formula unit
# energy = -3.18 eV per atom
data_Ba2Zn3AgSb4
_chemical_formula_sum 'Ba2 Zn3 Ag1 Sb4'
_symmetry_space_group_name_H-M 'P -4 m 2'
_symmetry_Int_Tables_number 115
_cell_length_a 5.077
_cell_length_b 5.077
_cell_length_c 10.627
_cell_angle_alpha 90.00
_cell_angle_beta 90.00
_cell_angle_gamma 90.00
loop_
_symmetry_equiv_pos_as_xyz
'x,y,z'
'y,-x,-z'
'-x,-y,z'
'-y,x,-z'
'-x,y,z'
'-y,-x,-z'
'x,-y,z'
'y,x,-z'
loop_
_atom_site_label
_atom_site_type_symbol
_atom_site_fract_x
_atom_site_fract_y
_atom_site_fract_z
Ba1 Ba 0.000 0.500 0.245
Zn1 Zn 0.000 0.000 0.000
Zn2 Zn 0.000 0.500 0.617
Ag1 Ag 0.500 0.500 0.000
Sb1 Sb 0.000 0.000 0.500
Sb2 Sb 0.000 0.500 0.870
Sb3 Sb 0.500 0.500 0.500



# BaZrAg2Sb | Alexandria | GGA-PBE | optimized geometry
# DOS at the Fermi energy = 3.483 states/eV/f.u.
# formation energy from raw total energies = 1.20 eV per formula unit
# energy = -3.82 eV per atom
data_BaZrAg2Sb
_chemical_formula_sum 'Ba1 Zr1 Ag2 Sb1'
_symmetry_space_group_name_H-M 'P 4/m m m'
_symmetry_Int_Tables_number 123
_symmetry_space_group_name_Hall '-P 4 2'
_cell_length_a 5.368
_cell_length_b 5.368
_cell_length_c 5.531
_cell_angle_alpha 90.00
_cell_angle_beta 90.00
_cell_angle_gamma 90.00
loop_
_atom_site_label
_atom_site_type_symbol
_atom_site_fract_x
_atom_site_fract_y
_atom_site_fract_z
Ba1 Ba 0.000 0.000 0.000
Zr1 Zr 0.500 0.500 0.000
Ag1 Ag 0.000 0.500 0.500
Sb1 Sb 0.500 0.500 0.500



# BaSc2Ag | Alexandria | GGA-PBE | optimized geometry
# DOS at the Fermi energy = 4.324 states/eV/f.u.
# ΔH_f (0 K) = 555 meV per atom
# energy = -3.80 eV per atom
# distance to the lowest polymorph of the same formula = 2.07 eV/f.u.
data_BaSc2Ag
_chemical_formula_sum 'Ba4 Sc8 Ag4'
_symmetry_space_group_name_H-M 'I 41/a m d'
_symmetry_Int_Tables_number 141
_cell_length_a 5.595
_cell_length_b 5.595
_cell_length_c 19.477
_cell_angle_alpha 90.00
_cell_angle_beta 90.00
_cell_angle_gamma 90.00
loop_
_symmetry_equiv_pos_as_xyz
'x,y,z'
'-x,-y,-z'
'-y+1/4,x+3/4,z+1/4'
'y+1/4,-x+3/4,-z+1/4'
'-x+1/2,-y,z+1/2'
'x+1/2,y,-z+1/2'
'y+1/4,-x+1/4,z+3/4'
'-y+1/4,x+1/4,-z+3/4'
'x,-y,-z'
'-x,y,z'
'-y+1/4,-x+1/4,-z+3/4'
'y+1/4,x+1/4,z+3/4'
'-x+1/2,y,-z+1/2'
'x+1/2,-y,z+1/2'
'y+1/4,x+3/4,-z+1/4'
'-y+1/4,-x+3/4,z+1/4'
'x+1/2,y+1/2,z+1/2'
'-x+1/2,-y+1/2,-z+1/2'
'-y+3/4,x+1/4,z+3/4'
'y+3/4,-x+1/4,-z+3/4'
'-x,-y+1/2,z'
'x,y+1/2,-z'
'y+3/4,-x+3/4,z+1/4'
'-y+3/4,x+3/4,-z+1/4'
'x+1/2,-y+1/2,-z+1/2'
'-x+1/2,y+1/2,z+1/2'
'-y+3/4,-x+3/4,-z+1/4'
'y+3/4,x+3/4,z+1/4'
'-x,y+1/2,-z'
'x,-y+1/2,z'
'y+3/4,x+1/4,-z+3/4'
'-y+3/4,-x+1/4,z+3/4'
loop_
_atom_site_label
_atom_site_type_symbol
_atom_site_fract_x
_atom_site_fract_y
_atom_site_fract_z
Ba1 Ba 0.000 0.250 0.375
Sc1 Sc 0.000 0.000 0.000
Ag1 Ag 0.000 0.250 0.875



# BaSc2Ag | Alexandria | GGA-PBE | optimized geometry
# DOS at the Fermi energy = 7.008 states/eV/f.u.
# ΔH_f (0 K) = 264 meV per atom
# energy = -4.10 eV per atom
# distance to the lowest polymorph of the same formula = 0.91 eV/f.u.
data_BaSc2Ag
_chemical_formula_sum 'Ba3 Sc6 Ag3'
_symmetry_space_group_name_H-M 'R -3 m'
_symmetry_Int_Tables_number 166
_symmetry_space_group_name_Hall '-R 3 2"'
_cell_length_a 3.6370
_cell_length_b 3.6370
_cell_length_c 30.9025
_cell_angle_alpha 90.00
_cell_angle_beta 90.00
_cell_angle_gamma 120.00
loop_
_atom_site_label
_atom_site_type_symbol
_atom_site_fract_x
_atom_site_fract_y
_atom_site_fract_z
Ba1 Ba 0.0000 0.0000 0.0000
Sc1 Sc 0.0000 0.0000 0.2303
Ag1 Ag 0.0000 0.0000 0.5000



# BaSc2Ag | Alexandria | GGA-PBE | optimized geometry
# DOS at the Fermi energy = 7.992 states/eV/f.u.
# ΔH_f (0 K) = 325 meV per atom
# energy = -4.03 eV per atom
# distance to the lowest polymorph of the same formula = 1.15 eV/f.u.
data_BaSc2Ag
_chemical_formula_sum 'Ba2 Sc4 Ag2'
_symmetry_space_group_name_H-M 'I -4 m 2'
_symmetry_Int_Tables_number 119
_symmetry_space_group_name_Hall 'I -4 -2'
_cell_length_a 4.922
_cell_length_b 4.922
_cell_length_c 9.269
_cell_angle_alpha 90.00
_cell_angle_beta 90.00
_cell_angle_gamma 90.00
loop_
_atom_site_label
_atom_site_type_symbol
_atom_site_fract_x
_atom_site_fract_y
_atom_site_fract_z
Ba1 Ba 0.000 0.000 0.000
Sc1 Sc 0.000 0.000 0.500
Sc2 Sc 0.000 0.500 0.750
Ag1 Ag 0.000 0.500 0.250



# Ba2ScAg | Alexandria | GGA-PBE | optimized geometry
# DOS at the Fermi energy = 5.360 states/eV/f.u.
# ΔH_f (0 K) = 267 meV per atom
# energy = -2.99 eV per atom
# distance to the lowest polymorph of the same formula = 0.91 eV/f.u.
data_Ba2ScAg
_chemical_formula_sum 'Ba6 Sc3 Ag3'
_symmetry_space_group_name_H-M 'R -3 m'
_symmetry_Int_Tables_number 166
_symmetry_space_group_name_Hall '-R 3 2"'
_cell_length_a 4.0964
_cell_length_b 4.0964
_cell_length_c 32.5265
_cell_angle_alpha 90.00
_cell_angle_beta 90.00
_cell_angle_gamma 120.00
loop_
_atom_site_label
_atom_site_type_symbol
_atom_site_fract_x
_atom_site_fract_y
_atom_site_fract_z
Ba1 Ba 0.0000 0.0000 0.2419
Sc1 Sc 0.0000 0.0000 0.0000
Ag1 Ag 0.0000 0.0000 0.5000



# BaSc2Ag | Alexandria | GGA-PBE | optimized geometry
# DOS at the Fermi energy = 5.479 states/eV/f.u.
# ΔH_f (0 K) = 213 meV per atom
# energy = -4.15 eV per atom
# distance to the lowest polymorph of the same formula = 0.70 eV/f.u.
data_BaSc2Ag
_chemical_formula_sum 'Ba2 Sc4 Ag2'
_symmetry_space_group_name_H-M 'I m m 2'
_symmetry_Int_Tables_number 44
_cell_length_a 3.762
_cell_length_b 5.356
_cell_length_c 11.068
_cell_angle_alpha 90.00
_cell_angle_beta 90.00
_cell_angle_gamma 90.00
loop_
_symmetry_equiv_pos_as_xyz
'x,y,z'
'-x,-y,z'
'-x,y,z'
'x,-y,z'
'x+1/2,y+1/2,z+1/2'
'-x+1/2,-y+1/2,z+1/2'
'-x+1/2,y+1/2,z+1/2'
'x+1/2,-y+1/2,z+1/2'
loop_
_atom_site_label
_atom_site_type_symbol
_atom_site_fract_x
_atom_site_fract_y
_atom_site_fract_z
Ba1 Ba 0.000 0.000 0.000
Sc1 Sc 0.000 0.000 0.567
Sc2 Sc 0.000 0.500 0.788
Ag1 Ag 0.000 0.500 0.255



# Ba2ScAg | Alexandria | GGA-PBE | optimized geometry
# DOS at the Fermi energy = 6.184 states/eV/f.u.
# ΔH_f (0 K) = 293 meV per atom
# energy = -2.96 eV per atom
# distance to the lowest polymorph of the same formula = 1.01 eV/f.u.
data_Ba2ScAg
_chemical_formula_sum 'Ba4 Sc2 Ag2'
_symmetry_space_group_name_H-M 'I -4 m 2'
_symmetry_Int_Tables_number 119
_symmetry_space_group_name_Hall 'I -4 -2'
_cell_length_a 4.959
_cell_length_b 4.959
_cell_length_c 11.887
_cell_angle_alpha 90.00
_cell_angle_beta 90.00
_cell_angle_gamma 90.00
loop_
_atom_site_label
_atom_site_type_symbol
_atom_site_fract_x
_atom_site_fract_y
_atom_site_fract_z
Ba1 Ba 0.000 0.000 0.000
Ba2 Ba 0.000 0.500 0.250
Sc1 Sc 0.000 0.500 0.750
Ag1 Ag 0.000 0.000 0.500



Question: energy of number 1 (BaSrAg2Sb2)?
Answer: -3.69 eV per atom